(1)
The following is a DFT calculation (GGA-PBE) of a relaxed structure of SmDy3Ho2.

Cell: 17.634 7.159 6.196 Å, 90.00 103.55 90.00°
Space group C2/c (No. 15)
One atom of each set of equivalent atoms:
Sm1 0.000 0.125 0.250 (multiplicity 4)
Dy1 0.000 0.375 0.750 (multiplicity 4)
Dy2 0.168 0.375 0.529 (multiplicity 8)
Ho1 0.168 0.126 0.028 (multiplicity 8)

As for the crystal system: monoclinic. As for the formation energy: -1 kJ/mol of formula units.

(2)
The following is a DFT calculation (GGA-PBE) of a relaxed structure of CsC2.

Cell: 5.3188 5.3188 7.2770 Å, 90.00 90.00 120.00°
Space group P6_3/mmc (No. 194)
One atom of each set of equivalent atoms:
Cs1 0.3333 0.6667 0.2500 (multiplicity 2)
C1 0.0000 0.0000 0.0877 (multiplicity 4)

The energy above the lowest structure with this stoichiometry comes out at 262 meV per atom. As for the crystal system: hexagonal. As for the formation energy: 346 kJ/mol of formula units.

(3)
The following is a DFT calculation (GGA-PBE) of a relaxed structure of LiBe2Fe.

Cell: 2.705 2.740 5.522 Å, 90.00 90.00 90.00°
Space group Pmmm (No. 47)
One atom of each set of equivalent atoms:
Li1 0.000 0.000 0.000 (multiplicity 1)
Be1 0.500 0.500 0.305 (multiplicity 2)
Fe1 0.000 0.000 0.500 (multiplicity 1)

As for the crystal system: orthorhombic. As for the formation energy: 3 kJ/mol of formula units.

(4)
The following is a DFT calculation (GGA-PBE) of a relaxed structure of Be2ReAu.

Cell: 2.737 3.947 4.723 Å, 90.00 106.79 90.00°
Space group Pm (No. 6)
One atom of each set of equivalent atoms:
Be1 0.000 0.000 0.000 (multiplicity 1)
Be2 0.155 0.500 0.311 (multiplicity 1)
Re1 0.727 0.000 0.457 (multiplicity 1)
Au1 0.422 0.500 0.844 (multiplicity 1)

The energy above the lowest structure with this stoichiometry comes out at 90 meV per atom. As for the crystal system: monoclinic. As for the formation energy: 33 kJ/mol of formula units.

(5)
The following is a DFT calculation (GGA-PBE) of a relaxed structure of LaPd3S4.

Cell: 6.791 6.791 6.791 Å, 90.00 90.00 90.00°
Space group Pm-3n (No. 223)
One atom of each set of equivalent atoms:
La1 0.000 0.000 0.000 (multiplicity 2)
Pd1 0.000 0.250 0.500 (multiplicity 6)
S1 0.250 0.250 0.250 (multiplicity 8)

The value obtained for the energy relative to the elements, uncorrected is -965.3 meV/atom. As for the crystal system: cubic.

(6)
The following is a DFT calculation (GGA-PBE) of a relaxed structure of PmNdDyCd.

Cell: 7.834 7.834 7.834 Å, 90.00 90.00 90.00°
Space group F-43m (No. 216)
One atom of each set of equivalent atoms:
Pm1 0.000 0.000 0.000 (multiplicity 4)
Nd1 0.250 0.250 0.250 (multiplicity 4)
Dy1 0.250 0.250 0.750 (multiplicity 4)
Cd1 0.000 0.000 0.500 (multiplicity 4)

The energy above the lowest structure with this stoichiometry comes out at 145 meV per atom. As for the crystal system: cubic. As for the formation energy: -2 kJ/mol of formula units.

(7)
The following is a DFT calculation (GGA-PBE) of a relaxed structure of TaCoAg2.

Cell: 3.700 3.700 4.682 Å, 90.00 90.00 90.00°
Space group P4/mmm (No. 123)
One atom of each set of equivalent atoms:
Ta1 0.000 0.000 0.000 (multiplicity 1)
Co1 0.500 0.500 0.000 (multiplicity 1)
Ag1 0.000 0.500 0.500 (multiplicity 2)

The energy above the lowest structure with this stoichiometry comes out at 312 meV per atom. As for the crystal system: tetragonal. As for the formation energy: 180 kJ/mol of formula units.

(8)
The following is a DFT calculation (GGA-PBE) of a relaxed structure of TiNbFe.

Cell: 4.379 10.610 6.121 Å, 90.00 90.00 90.00°
Space group Amm2 (No. 38)
One atom of each set of equivalent atoms:
Ti1 0.000 0.000 0.000 (multiplicity 2)
Ti2 0.000 0.241 0.275 (multiplicity 4)
Nb1 0.000 0.000 0.517 (multiplicity 2)
Nb2 0.500 0.167 0.015 (multiplicity 4)
Fe1 0.500 0.000 0.281 (multiplicity 2)
Fe2 0.500 0.118 0.633 (multiplicity 4)

The energy above the lowest structure with this stoichiometry comes out at 148 meV per atom. As for the crystal system: orthorhombic. As for the formation energy: 39 kJ/mol of formula units.

(9)
The following is a DFT calculation (GGA-PBE) of a relaxed structure of Re2HgSe.

Cell: 3.990 3.990 8.711 Å, 90.00 90.00 90.00°
Space group I4/mmm (No. 139)
One atom of each set of equivalent atoms:
Re1 0.000 0.500 0.250 (multiplicity 4)
Hg1 0.000 0.000 0.000 (multiplicity 2)
Se1 0.000 0.000 0.500 (multiplicity 2)

The value obtained for the energy relative to the elements, uncorrected is 1311.9 meV/atom. The energy above the lowest structure with this stoichiometry comes out at 986 meV per atom. As for the crystal system: tetragonal.

(10)
The following is a DFT calculation (GGA-PBE) of a relaxed structure of Cs2ReWBr6.

Cell: 7.725 7.725 10.965 Å, 90.00 90.00 90.00°
Space group I4/mmm (No. 139)
One atom of each set of equivalent atoms:
Cs1 0.000 0.500 0.250 (multiplicity 4)
Re1 0.000 0.000 0.000 (multiplicity 2)
W1 0.000 0.000 0.500 (multiplicity 2)
Br1 0.000 0.000 0.255 (multiplicity 4)
Br2 0.246 0.246 0.500 (multiplicity 8)

The value obtained for the energy relative to the elements, uncorrected is -339.5 meV/atom. As for the crystal system: tetragonal.

(11)
The following is a DFT calculation (GGA-PBE) of a relaxed structure of RbSn3N.

Cell: 6.117 6.117 6.117 Å, 90.00 90.00 90.00°
Space group Pm-3m (No. 221)
One atom of each set of equivalent atoms:
Rb1 0.000 0.000 0.000 (multiplicity 1)
Sn1 0.000 0.000 0.500 (multiplicity 3)
N1 0.500 0.500 0.500 (multiplicity 1)

The value obtained for the energy relative to the elements, uncorrected is 2541.3 meV/atom. The energy above the lowest structure with this stoichiometry comes out at 1997 meV per atom. As for the crystal system: cubic.

(12)
The following is a DFT calculation (GGA-PBE) of a relaxed structure of PmGa2Ru2C.

Cell: 4.117 4.117 5.627 Å, 90.00 90.00 90.00°
Space group P4/mmm (No. 123)
One atom of each set of equivalent atoms:
Pm1 0.000 0.000 0.000 (multiplicity 1)
Ga1 0.500 0.500 0.220 (multiplicity 2)
Ru1 0.000 0.500 0.500 (multiplicity 2)
C1 0.000 0.000 0.500 (multiplicity 1)

As for the crystal system: tetragonal. As for the formation energy: -241 kJ/mol of formula units.

no.,calculated volume (Å³/atom)
1,31.68
2,29.71
3,10.23
4,12.21
5,19.57
6,30.05
7,16.02
8,15.80
9,17.33
10,32.71
11,45.78
12,15.89